VASP calculation (PBE) on crystalline Tb4GdTm at its relaxed geometry.

Structure (POSCAR):
```
Tb4GdTm
1.0
6.5677 0.0000 0.0000
3.2839 5.6878 0.0000
3.2839 1.8959 5.3625
Tb Tm Gd
4 1 1
Direct
0.6256 0.6256 0.6256
0.6256 0.1233 0.6256
0.6256 0.6256 0.1233
0.1233 0.6256 0.6256
0.0000 0.0000 0.0000
0.2500 0.2500 0.2500
```

Output
Spin magnetization: 8.2 μB per formula unit
Space-group type: F-43m (216)

---

VASP calculation (PBE) on crystalline GaCo2Au2 at its relaxed geometry.

Structure (POSCAR):
```
GaCo2Au2
1.0
6.1249 0.0000 0.0000
0.0000 6.1249 0.0000
0.0000 0.0000 4.0149
Co Ga Au
4 2 4
Direct
0.1300 0.3700 0.0000
0.6300 0.1300 0.0000
0.3700 0.8700 0.0000
0.8700 0.6300 0.0000
0.0000 0.0000 0.0000
0.5000 0.5000 0.0000
0.6697 0.8303 0.5000
0.8303 0.3303 0.5000
0.3303 0.1697 0.5000
0.1697 0.6697 0.5000
```

Output
Spin magnetization: 1.9 μB per formula unit
Space-group type: P4/mbm (127)

---

| no. | formation energy from the elements (eV per formula unit) |
| --- | --- |
| 1 | 1.5 |
| 2 | 0.5 |